Version P
This record from the Alexandria database describes a relaxed structure of KRbRu2. The functional is GGA-PBE.

Unit cell a=7.121 b=7.121 c=7.121 alpha=97.98 beta=97.98 gamma=136.25
Atoms (fractional coordinates):
1 K 0.000 0.000 0.000
2 K 0.750 0.250 0.500
3 Rb 0.250 0.750 0.500
4 Rb 0.500 0.500 0.000
5 Ru 0.122 0.625 0.997
6 Ru 0.375 0.372 0.497
7 Ru 0.628 0.125 0.003
8 Ru 0.875 0.878 0.503

---

Version Q
This record from the Alexandria database describes a relaxed structure of KRbRu2. The functional is GGA-PBE.

Unit cell a=5.362 b=5.362 c=5.362 alpha=60.00 beta=60.00 gamma=60.00
Atoms (fractional coordinates):
1 K 0.000 0.000 0.000
2 Rb 0.500 0.500 0.500
3 Ru 0.250 0.250 0.250
4 Ru 0.750 0.750 0.750

---

The energy of each structure relative to the most stable one, in meV/atom, is as follows: version P 0; version Q 253.

---

Version P
This record from the Alexandria database describes a relaxed structure of KRbS2. The functional is GGA-PBE.

Unit cell a=4.914 b=4.914 c=4.552 alpha=90.00 beta=90.00 gamma=90.00
Atoms (fractional coordinates):
1 K 0.000 0.000 0.000
2 Rb 0.500 0.500 0.000
3 S 0.000 0.500 0.500
4 S 0.500 0.000 0.500

---

Version Q
This record from the Alexandria database describes a relaxed structure of KRbS2. The functional is GGA-PBE.

Unit cell a=5.557 b=5.557 c=5.557 alpha=60.00 beta=60.00 gamma=60.00
Atoms (fractional coordinates):
1 K 0.000 0.000 0.000
2 Rb 0.500 0.500 0.500
3 S 0.250 0.250 0.250
4 S 0.750 0.750 0.750

---

Version R
This record from the Alexandria database describes a relaxed structure of KRbS2. The functional is GGA-PBE.

Unit cell a=4.278 b=4.278 c=6.492 alpha=90.00 beta=90.00 gamma=90.00
Atoms (fractional coordinates):
1 K 0.000 0.000 0.000
2 Rb 0.000 0.000 0.500
3 S 0.500 0.500 0.166
4 S 0.500 0.500 0.834

---

Version S
This record from the Alexandria database describes a relaxed structure of KRbS2. The functional is GGA-PBE.

Unit cell a=10.655 b=10.655 c=10.655 alpha=24.17 beta=24.17 gamma=24.17
Atoms (fractional coordinates):
1 K 0.000 0.000 0.000
2 Rb 0.500 0.500 0.500
3 S 0.095 0.095 0.095
4 S 0.905 0.905 0.905

---

The energy of each structure relative to the most stable one, in meV/atom, is as follows: version P 354; version Q 384; version R 0; version S 703.

---

Version P
This record from the Alexandria database describes a relaxed structure of KRbS2. The functional is GGA-PBE.

Unit cell a=4.728 b=4.728 c=22.692 alpha=90.00 beta=90.00 gamma=90.00
Atoms (fractional coordinates):
1 K 0.120 0.333 0.000
2 K 0.333 0.880 0.750
3 K 0.667 0.120 0.250
4 K 0.880 0.667 0.500
5 Rb 0.125 0.681 0.129
6 Rb 0.319 0.125 0.379
7 Rb 0.681 0.875 0.879
8 Rb 0.875 0.319 0.629
9 S 0.100 0.620 0.274
10 S 0.145 0.375 0.853
11 S 0.375 0.855 0.603
12 S 0.380 0.100 0.524
13 S 0.620 0.900 0.024
14 S 0.625 0.145 0.103
15 S 0.855 0.625 0.353
16 S 0.900 0.380 0.774

---

Version Q
This record from the Alexandria database describes a relaxed structure of KRbS2. The functional is GGA-PBE.

Unit cell a=6.910 b=6.910 c=6.910 alpha=100.41 beta=100.41 gamma=129.70
Atoms (fractional coordinates):
1 K 0.000 0.000 0.000
2 K 0.750 0.250 0.500
3 Rb 0.250 0.750 0.500
4 Rb 0.500 0.500 0.000
5 S 0.113 0.625 0.988
6 S 0.375 0.363 0.488
7 S 0.637 0.125 0.012
8 S 0.875 0.887 0.512

---

The energy of each structure relative to the most stable one, in meV/atom, is as follows: version P 0; version Q 412.

---

Version P
This record from the Alexandria database describes a relaxed structure of K3RbS. The functional is GGA-PBE.

Unit cell a=7.030 b=7.030 c=7.030 alpha=90.00 beta=90.00 gamma=90.00
Atoms (fractional coordinates):
1 K 0.000 0.000 0.500
2 K 0.000 0.500 0.000
3 K 0.500 0.000 0.000
4 Rb 0.000 0.000 0.000
5 S 0.500 0.500 0.500

---

Version Q
This record from the Alexandria database describes a relaxed structure of K3RbS. The functional is GGA-PBE.

Unit cell a=6.397 b=6.397 c=6.397 alpha=90.00 beta=90.00 gamma=90.00
Atoms (fractional coordinates):
1 K 0.000 0.000 0.500
2 K 0.000 0.500 0.000
3 K 0.500 0.000 0.000
4 Rb 0.500 0.500 0.500
5 S 0.000 0.000 0.000

---

The energy of each structure relative to the most stable one, in meV/atom, is as follows: version P 944; version Q 0.

---

Version P
This record from the Alexandria database describes a relaxed structure of KRbSbS2. The functional is GGA-PBE.

Unit cell a=5.702 b=5.702 c=5.555 alpha=90.00 beta=90.00 gamma=90.00
Atoms (fractional coordinates):
1 K 0.000 0.000 0.000
2 Rb 0.000 0.000 0.500
3 Sb 0.500 0.500 0.500
4 S 0.000 0.500 0.000
5 S 0.500 0.000 0.000

---

Version Q
This record from the Alexandria database describes a relaxed structure of KRbSbS2. The functional is GGA-PBE.

Unit cell a=7.869 b=7.195 c=5.895 alpha=90.00 beta=90.06 gamma=90.00
Atoms (fractional coordinates):
1 K 0.000 0.068 0.250
2 K 0.000 0.932 0.750
3 Rb 0.500 0.316 0.250
4 Rb 0.500 0.684 0.750
5 Sb 0.000 0.500 0.000
6 Sb 0.000 0.500 0.500
7 S 0.232 0.287 0.750
8 S 0.232 0.713 0.250
9 S 0.768 0.287 0.750
10 S 0.768 0.713 0.250

---

The energy of each structure relative to the most stable one, in meV/atom, is as follows: version P 1107; version Q 0.

---

Version P
This record from the Alexandria database describes a relaxed structure of K2RbSrS. The functional is GGA-PBE.

Unit cell a=6.767 b=6.767 c=7.591 alpha=90.00 beta=90.00 gamma=90.00
Atoms (fractional coordinates):
1 K 0.000 0.500 0.000
2 K 0.500 0.000 0.000
3 Rb 0.000 0.000 0.000
4 Sr 0.000 0.000 0.500
5 S 0.500 0.500 0.500

---

Version Q
This record from the Alexandria database describes a relaxed structure of K2RbSrS. The functional is GGA-PBE.

Unit cell a=6.707 b=6.707 c=5.795 alpha=90.00 beta=90.00 gamma=90.00
Atoms (fractional coordinates):
1 K 0.000 0.500 0.000
2 K 0.500 0.000 0.000
3 Rb 0.000 0.000 0.500
4 Sr 0.500 0.500 0.500
5 S 0.500 0.500 0.000

---

The energy of each structure relative to the most stable one, in meV/atom, is as follows: version P 1197; version Q 0.